Here is KCa2Zr after structural relaxation from Alexandria. Energies are from GGA-PBE.

E above lowest polymorph: 639 meV per atom
Calculated total energy: -2.45 eV per atom
Formation enthalpy at 0 K: 22.27 kcal/mol of atoms
Magnetization: 3.54 μB/f.u.

```
data_KCa2Zr
_chemical_formula_sum 'K2 Ca4 Zr2'
_cell_length_a 5.202
_cell_length_b 5.202
_cell_length_c 12.795
_cell_angle_alpha 78.27
_cell_angle_beta 78.27
_cell_angle_gamma 90.00
_symmetry_space_group_name_H-M 'P 1'
_symmetry_Int_Tables_number 1
loop_
_symmetry_equiv_pos_as_xyz
'x,y,z'
loop_
_atom_site_label
_atom_site_fract_x
_atom_site_fract_y
_atom_site_fract_z
Ca1 0.644 0.125 0.250
Ca2 0.106 0.625 0.250
Ca3 0.375 0.356 0.750
Ca4 0.875 0.894 0.750
K1 0.500 0.500 0.000
K2 0.250 0.750 0.500
Zr1 0.000 0.000 0.000
Zr2 0.750 0.250 0.500
```

***

Here is KCaZr2 after structural relaxation from Alexandria. Energies are from GGA-PBE.

E above lowest polymorph: 570 meV per atom
Calculated total energy: -4.15 eV per atom
Formation enthalpy at 0 K: 20.84 kcal/mol of atoms
Magnetization: 0.00 μB/f.u.

```
data_KCaZr2
_chemical_formula_sum 'K1 Ca1 Zr2'
_cell_length_a 3.796
_cell_length_b 3.796
_cell_length_c 9.405
_cell_angle_alpha 90.00
_cell_angle_beta 90.00
_cell_angle_gamma 90.00
_symmetry_space_group_name_H-M 'P 1'
_symmetry_Int_Tables_number 1
loop_
_symmetry_equiv_pos_as_xyz
'x,y,z'
loop_
_atom_site_label
_atom_site_fract_x
_atom_site_fract_y
_atom_site_fract_z
Ca1 0.500 0.500 0.250
K1 0.500 0.500 0.750
Zr1 0.000 0.000 0.074
Zr2 0.000 0.000 0.426
```

***

Here is KCaZr2 after structural relaxation from Alexandria. Energies are from GGA-PBE.

E above lowest polymorph: 417 meV per atom
Calculated total energy: -4.30 eV per atom
Formation enthalpy at 0 K: 17.30 kcal/mol of atoms
Magnetization: 0.00 μB/f.u.

```
data_KCaZr2
_chemical_formula_sum 'K1 Ca1 Zr2'
_cell_length_a 3.330
_cell_length_b 5.576
_cell_length_c 6.392
_cell_angle_alpha 90.00
_cell_angle_beta 90.00
_cell_angle_gamma 90.00
_symmetry_space_group_name_H-M 'P 1'
_symmetry_Int_Tables_number 1
loop_
_symmetry_equiv_pos_as_xyz
'x,y,z'
loop_
_atom_site_label
_atom_site_fract_x
_atom_site_fract_y
_atom_site_fract_z
Ca1 0.500 0.000 0.500
K1 0.000 0.500 0.500
Zr1 0.000 0.000 0.000
Zr2 0.500 0.500 0.000
```

***

Here is KCaZr after structural relaxation from Alexandria. Energies are from GGA-PBE.

E above lowest polymorph: 35 meV per atom
Calculated total energy: -3.28 eV per atom
Formation enthalpy at 0 K: 13.88 kcal/mol of atoms
Magnetization: 0.07 μB/f.u.

```
data_KCaZr
_chemical_formula_sum 'K1 Ca1 Zr1'
_cell_length_a 9.555
_cell_length_b 9.555
_cell_length_c 9.555
_cell_angle_alpha 159.25
_cell_angle_beta 159.25
_cell_angle_gamma 29.51
_symmetry_space_group_name_H-M 'P 1'
_symmetry_Int_Tables_number 1
loop_
_symmetry_equiv_pos_as_xyz
'x,y,z'
loop_
_atom_site_label
_atom_site_fract_x
_atom_site_fract_y
_atom_site_fract_z
Ca1 0.025 0.025 0.000
K1 0.322 0.322 0.000
Zr1 0.654 0.654 0.000
```

***

Here is K2CaZr after structural relaxation from Alexandria. Energies are from GGA-PBE.

E above lowest polymorph: 264 meV per atom
Calculated total energy: -2.41 eV per atom
Formation enthalpy at 0 K: 18.01 kcal/mol of atoms
Magnetization: 3.18 μB/f.u.

```
data_K2CaZr
_chemical_formula_sum 'K2 Ca1 Zr1'
_cell_length_a 7.944
_cell_length_b 7.944
_cell_length_c 7.944
_cell_angle_alpha 153.44
_cell_angle_beta 126.26
_cell_angle_gamma 60.93
_symmetry_space_group_name_H-M 'P 1'
_symmetry_Int_Tables_number 1
loop_
_symmetry_equiv_pos_as_xyz
'x,y,z'
loop_
_atom_site_label
_atom_site_fract_x
_atom_site_fract_y
_atom_site_fract_z
Ca1 0.280 0.780 0.500
K1 0.003 0.003 0.000
K2 0.733 0.233 0.500
Zr1 0.483 0.483 0.000
```

***

Here is K2CaZr after structural relaxation from Alexandria. Energies are from GGA-PBE.

E above lowest polymorph: 476 meV per atom
Calculated total energy: -2.19 eV per atom
Formation enthalpy at 0 K: 22.90 kcal/mol of atoms
Magnetization: 3.14 μB/f.u.

```
data_K2CaZr
_chemical_formula_sum 'K2 Ca1 Zr1'
_cell_length_a 6.289
_cell_length_b 6.289
_cell_length_c 6.289
_cell_angle_alpha 60.00
_cell_angle_beta 60.00
_cell_angle_gamma 60.00
_symmetry_space_group_name_H-M 'P 1'
_symmetry_Int_Tables_number 1
loop_
_symmetry_equiv_pos_as_xyz
'x,y,z'
loop_
_atom_site_label
_atom_site_fract_x
_atom_site_fract_y
_atom_site_fract_z
Ca1 0.000 0.000 0.000
K1 0.250 0.250 0.250
K2 0.750 0.750 0.750
Zr1 0.500 0.500 0.500
```

***

Here is KCaZr2 after structural relaxation from Alexandria. Energies are from GGA-PBE.

E above lowest polymorph: 77 meV per atom
Calculated total energy: -4.64 eV per atom
Formation enthalpy at 0 K: 9.46 kcal/mol of atoms
Magnetization: 0.00 μB/f.u.

```
data_KCaZr2
_chemical_formula_sum 'K1 Ca1 Zr2'
_cell_length_a 12.611
_cell_length_b 12.611
_cell_length_c 12.611
_cell_angle_alpha 15.67
_cell_angle_beta 15.67
_cell_angle_gamma 15.67
_symmetry_space_group_name_H-M 'P 1'
_symmetry_Int_Tables_number 1
loop_
_symmetry_equiv_pos_as_xyz
'x,y,z'
loop_
_atom_site_label
_atom_site_fract_x
_atom_site_fract_y
_atom_site_fract_z
Ca1 0.512 0.512 0.512
K1 0.744 0.744 0.744
Zr1 0.987 0.987 0.987
Zr2 0.257 0.257 0.257
```

***

Here is KCa3Zr after structural relaxation from Alexandria. Energies are from GGA-PBE.

E above lowest polymorph: 0 meV per atom
Calculated total energy: -2.43 eV per atom
Formation enthalpy at 0 K: 16.04 kcal/mol of atoms
Magnetization: 3.00 μB/f.u.

```
data_KCa3Zr
_chemical_formula_sum 'K1 Ca3 Zr1'
_cell_length_a 6.255
_cell_length_b 6.255
_cell_length_c 6.255
_cell_angle_alpha 90.00
_cell_angle_beta 90.00
_cell_angle_gamma 90.00
_symmetry_space_group_name_H-M 'P 1'
_symmetry_Int_Tables_number 1
loop_
_symmetry_equiv_pos_as_xyz
'x,y,z'
loop_
_atom_site_label
_atom_site_fract_x
_atom_site_fract_y
_atom_site_fract_z
Ca1 0.000 0.500 0.000
Ca2 0.000 0.000 0.500
Ca3 0.500 0.000 0.000
K1 0.500 0.500 0.500
Zr1 0.000 0.000 0.000
```